! PBE-GGA Na3BeTe, relaxed; values from VASP
&SYSTEM
  ibrav = 0, nat = 5, ntyp = 3
/
ATOMIC_SPECIES
Te 127.60 Te.upf
Na 22.99 Na.upf
Be 9.01 Be.upf
CELL_PARAMETERS angstrom
5.8730 0.0000 0.0000
0.0000 5.8730 0.0000
0.0000 0.0000 5.8730
ATOMIC_POSITIONS crystal
Te 0.0000 0.0000 0.0000
Na 0.0000 0.0000 0.5000
Na 0.5000 0.0000 0.0000
Na 0.0000 0.5000 0.0000
Be 0.5000 0.5000 0.5000
! N(E_F)   2.95 states/eV/cell
! E_form (uncorrected)   0.207 eV per atom

=====

! PBE-GGA Na3BeTe, relaxed; values from VASP
&SYSTEM
  ibrav = 0, nat = 5, ntyp = 3
/
ATOMIC_SPECIES
Na 22.99 Na.upf
Te 127.60 Te.upf
Be 9.01 Be.upf
CELL_PARAMETERS angstrom
5.2810 0.0000 0.0000
0.0000 5.2810 0.0000
0.0000 0.0000 5.2810
ATOMIC_POSITIONS crystal
Na 0.0000 0.5000 0.0000
Na 0.0000 0.0000 0.5000
Na 0.5000 0.0000 0.0000
Te 0.5000 0.5000 0.5000
Be 0.0000 0.0000 0.0000
! N(E_F)   5.00 states/eV/cell
! E_form (uncorrected)   0.279 eV per atom

=====

! PBE-GGA Na3Be2Te4, relaxed; values from VASP
&SYSTEM
  ibrav = 0, nat = 18, ntyp = 3
/
ATOMIC_SPECIES
Na 22.99 Na.upf
Be 9.01 Be.upf
Te 127.60 Te.upf
CELL_PARAMETERS angstrom
6.4573 -0.4902 0.6412
0.3467 8.6821 2.4695
-0.9281 0.4017 8.9764
ATOMIC_POSITIONS crystal
Na 0.4836 0.2653 0.0017
Na 0.7500 0.3827 0.6173
Na 0.9836 0.0017 0.2653
Na 0.0164 0.9983 0.7347
Na 0.2500 0.6173 0.3827
Na 0.5164 0.7347 0.9983
Be 0.5588 0.8505 0.5806
Be 0.0588 0.5806 0.8505
Be 0.9412 0.4194 0.1495
Be 0.4412 0.1495 0.4194
Te 0.4881 0.9462 0.2980
Te 0.0119 0.7020 0.0538
Te 0.4138 0.5979 0.7158
Te 0.9138 0.7158 0.5979
Te 0.0862 0.2842 0.4021
Te 0.9881 0.2980 0.9462
Te 0.5862 0.4021 0.2842
Te 0.5119 0.0538 0.7020
! N(E_F)   3.83 states/eV/cell
! E_form (uncorrected)   -0.556 eV per atom

=====

! PBE-GGA NaBe3Te, relaxed; values from VASP
&SYSTEM
  ibrav = 0, nat = 5, ntyp = 3
/
ATOMIC_SPECIES
Be 9.01 Be.upf
Na 22.99 Na.upf
Te 127.60 Te.upf
CELL_PARAMETERS angstrom
-4.5296 0.2358 -1.8450
-1.8574 -0.8316 4.4537
-0.0989 4.8197 0.8587
ATOMIC_POSITIONS crystal
Be 0.0000 0.0000 0.5000
Be 0.5000 0.0000 0.0000
Be 0.0000 0.5000 0.0000
Na 0.5000 0.5000 0.5000
Te 0.0000 0.0000 0.0000
! N(E_F)   3.51 states/eV/cell
! E_form (uncorrected)   1.196 eV per atom